Entry from the Alexandria database: a relaxed structure of SrAsP (PBE).

Computed properties:
* DFT formation energy: -0.616 eV/atom
* space-group type: P3m1
* ΔE to the lowest computed polymorph: 0.047 eV per atom
* total magnetization: 0.000 μB per cell

The structure in extended XYZ format:
```
3
Lattice="4.413 0.000 0.000 -2.206 3.821 0.000 0.000 0.000 4.398" Properties=species:S:1:pos:R:3 pbc="T T T"
Sr 0.000 0.000 0.000
As 2.206 1.274 2.345
P 0.000 2.548 1.960
```